RbPaSe2O8: relaxed, PBE.

Cell: 6.0530 6.0530 8.1550 Å, 90.00 90.00 120.00°
Space group P-3m1 (No. 164)
One atom of each set of equivalent atoms:
Rb  0.0000  0.0000  0.0000 (multiplicity 1)
Pa  0.0000  0.0000  0.5000 (multiplicity 1)
Se  0.3333  0.6667  0.2780 (multiplicity 2)
O  0.1617  0.3234  0.3334 (multiplicity 6)
O  0.3333  0.6667  0.0768 (multiplicity 2)

Values from the calculation:
The raw formation energy is -35.5 kcal/mol of atoms. Its electronic total energy is -75.58 eV per cell.

=====

Rb3Pa2Se2O5: relaxed, PBE.

Cell: 4.3810 4.3810 29.9261 Å, 90.00 90.00 90.00°
Space group I4/mmm (No. 139)
One atom of each set of equivalent atoms:
Rb  0.0000  0.0000  0.0000 (multiplicity 2)
Rb  0.0000  0.0000  0.2015 (multiplicity 4)
Pa  0.0000  0.0000  0.4269 (multiplicity 4)
Se  0.0000  0.0000  0.3274 (multiplicity 4)
O  0.0000  0.0000  0.5000 (multiplicity 2)
O  0.0000  0.5000  0.0711 (multiplicity 8)

Values from the calculation:
The raw formation energy is -55.5 kcal/mol of atoms. Its electronic total energy is -165.06 eV per cell.

=====

RbPaSeO5: relaxed, PBE.

Cell: 7.4604 10.0170 8.1260 Å, 90.00 106.07 90.00°
Space group C2/c (No. 15)
One atom of each set of equivalent atoms:
Rb  0.0000  0.1565  0.2500 (multiplicity 4)
Pa  0.0000  0.5000  0.0000 (multiplicity 4)
Se  0.0000  0.1725  0.7500 (multiplicity 4)
O  0.0000  0.4326  0.2500 (multiplicity 4)
O  0.0960  0.2789  0.6323 (multiplicity 8)
O  0.2344  0.0763  0.9478 (multiplicity 8)

Values from the calculation:
The raw formation energy is -49.0 kcal/mol of atoms. Its electronic total energy is -222.90 eV per cell.

=====

RbPaSeO6: relaxed, PBE.

Cell: 5.5202 5.5202 12.3900 Å, 90.00 90.00 120.00°
Space group P-31c (No. 163)
One atom of each set of equivalent atoms:
Rb  0.0000  0.0000  0.0000 (multiplicity 2)
Pa  0.3333  0.6667  0.2500 (multiplicity 2)
Se  0.3333  0.6667  0.7500 (multiplicity 2)
O  0.0497  0.4059  0.6652 (multiplicity 12)

Values from the calculation:
The raw formation energy is -43.1 kcal/mol of atoms. Its electronic total energy is -121.01 eV per cell.

=====

Which formula does entry 4 have?
RbPaSeO6

=====

Among the records above, which one has the lowest electronic total energy?
RbPaSeO5